Record 1
! Ti2ZnSn, relaxed, DFT PBE-GGA; values from VASP
&SYSTEM
  ibrav = 0, nat = 8, ntyp = 3
/
ATOMIC_SPECIES
Zn 65.41 Zn.upf
Sn 118.71 Sn.upf
Ti 47.87 Ti.upf
CELL_PARAMETERS angstrom
7.346 0.000 0.000
0.000 7.346 0.000
3.673 3.673 2.796
ATOMIC_POSITIONS crystal
Zn 0.500 0.500 0.000
Zn 0.250 0.750 0.500
Sn 0.000 0.000 0.000
Sn 0.750 0.250 0.500
Ti 0.610 0.125 0.250
Ti 0.140 0.625 0.250
Ti 0.375 0.390 0.750
Ti 0.875 0.860 0.750
! formation energy from the elements = 0.36 eV/f.u.

=====

Record 2
! Ti3NiSb, relaxed, DFT PBE-GGA; values from VASP
&SYSTEM
  ibrav = 0, nat = 5, ntyp = 3
/
ATOMIC_SPECIES
Sb 121.76 Sb.upf
Ti 47.87 Ti.upf
Ni 58.69 Ni.upf
CELL_PARAMETERS angstrom
4.548 0.000 0.000
0.000 4.548 0.000
0.000 0.000 4.548
ATOMIC_POSITIONS crystal
Sb 0.500 0.500 0.500
Ti 0.000 0.500 0.000
Ti 0.000 0.000 0.500
Ti 0.500 0.000 0.000
Ni 0.000 0.000 0.000
! formation energy from raw total energies = -3.2 kJ per mole of atoms
! energy above the lowest structure with this stoichiometry = 0.000 eV per atom